Entry from Alexandria: a relaxed structure of LiCaRu2 (PBE).

Cell: 4.025 4.025 19.001 Å, 90.00 90.00 90.00°
Space group I-42d (No. 122)
Unique sites:
Li 0.000 0.000 0.000
Ca 0.000 0.000 0.500
Ru 0.152 0.750 0.125

Results
Formation enthalpy at 0 K: 0.51 eV/atom
Offset from the most stable computed form: 1.09 eV/f.u.
Uncorrected energy: -5.1036 eV/atom
Total magnetization: 0.0 μB/f.u.
DOS at the Fermi energy: 12.8 states/eV/cell



Entry from Alexandria: a relaxed structure of NiPb4Cl (PBE).

Cell: 9.016 9.016 9.016 Å, 90.00 90.00 90.00°
Space group F-43m (No. 216)
Unique sites:
Ni 0.000 0.000 0.000
Pb 0.126 0.126 0.626
Cl 0.250 0.250 0.250

Results
Uncorrected energy: -3.2612 eV/atom
Total magnetization: 0.5 μB/f.u.
Formation energy from raw total energies: 47 kJ per mole of atoms
DOS at the Fermi energy: 37.4 states/eV/cell



Entry from Alexandria: a relaxed structure of Zr2IrPt (PBE).

Cell: 3.030 3.482 7.002 Å, 90.00 90.00 90.00°
Space group Pmmm (No. 47)
Unique sites:
Zr 0.000 0.000 0.242
Ir 0.500 0.500 0.000
Pt 0.500 0.500 0.500

Results
Formation enthalpy at 0 K: -0.85 eV/atom
Uncorrected energy: -8.8529 eV/atom
Total magnetization: 0.0 μB/f.u.
DOS at the Fermi energy: 3.2 states/eV/cell



Entry from Alexandria: a relaxed structure of BeCd2Pt (PBE).

Cell: 2.954 4.243 5.369 Å, 90.00 101.21 90.00°
Space group P2/m (No. 10)
Unique sites:
Be 0.000 0.000 0.000
Cd 0.379 0.500 0.238
Pt 0.000 0.000 0.500

Results
Formation enthalpy at 0 K: 0.07 eV/atom
Uncorrected energy: -2.8321 eV/atom
Total magnetization: 0.0 μB/f.u.
DOS at the Fermi energy: 1.2 states/eV/cell



Entry from Alexandria: a relaxed structure of ThScCd2 (PBE).

Cell: 3.3691 3.3691 31.5324 Å, 90.00 90.00 120.00°
Space group R-3m (No. 166, hexagonal axes)
Unique sites:
Th 0.0000 0.0000 0.0000
Sc 0.0000 0.0000 0.5000
Cd 0.0000 0.0000 0.2428

Results
Formation enthalpy at 0 K: -0.07 eV/atom
Offset from the most stable computed form: 0.52 eV/f.u.
Uncorrected energy: -3.9612 eV/atom
Total magnetization: 0.0 μB/f.u.
DOS at the Fermi energy: 11.1 states/eV/cell



Entry from Alexandria: a relaxed structure of FeOs2Pb (PBE).

Cell: 2.843 4.492 10.207 Å, 90.00 90.00 90.00°
Space group Immm (No. 71)
Unique sites:
Fe 0.000 0.000 0.000
Os 0.000 0.500 0.286
Pb 0.000 0.000 0.500

Results
Formation enthalpy at 0 K: 0.79 eV/atom
Uncorrected energy: -7.8696 eV/atom
Total magnetization: 2.3 μB/f.u.
DOS at the Fermi energy: 11.3 states/eV/cell